## MgSn2Ir2 (PBE-GGA)

Data for a relaxed MgSn2Ir2 crystal.

Unit cell a=4.2327 b=4.2327 c=11.6901 alpha=90.00 beta=90.00 gamma=90.00
Space group I4/mmm (No. 139)
Symmetry-distinct sites (fractional):
Mg: 0.0000 0.0000 0.0000
Sn: 0.0000 0.5000 0.2500
Ir: 0.0000 0.0000 0.3932

Results
E above lowest polymorph, meV per atom: 248
Total DFT energy (no corrections), eV for the cell shown: -55.41



## In3Te4 (PBE-GGA)

Data for a relaxed In3Te4 crystal.

Unit cell a=15.3043 b=4.3419 c=7.4755 alpha=90.00 beta=111.68 gamma=90.00
Space group C2/m (No. 12)
Symmetry-distinct sites (fractional):
In: 0.0000 0.0000 0.0000
In: 0.2283 0.5000 0.7008
Te: 0.1170 0.0000 0.4520
Te: 0.1393 0.5000 0.9946

Results
E above lowest polymorph, meV per atom: 18
Total DFT energy (no corrections), eV for the cell shown: -45.09
Uncorrected formation energy, eV per atom: -0.252



## CeSnBi (PBE-GGA)

Data for a relaxed CeSnBi crystal.

Unit cell a=5.5254 b=5.5254 c=3.3467 alpha=90.00 beta=90.00 gamma=120.00
Space group P3m1 (No. 156)
Symmetry-distinct sites (fractional):
Ce: 0.0000 0.0000 0.0000
Sn: 0.6667 0.3333 0.4988
Bi: 0.3333 0.6667 0.5017

Results
E above lowest polymorph, meV per atom: 261
Total DFT energy (no corrections), eV for the cell shown: -14.82



- The lowest total DFT energy (no corrections) belongs to which entry?
  MgSn2Ir2